PBE NaTmB4, optimized geometry; space group = P6/mmm, No. 191; size of the total moment = 0.01 μB per formula unit; calculated volume = 70 Å³/cell; theoretical density = 5.6 g/cm3
1.0
3.1775 0.0000 0.0000
-1.5888 2.7518 0.0000
0.0000 0.0000 7.9770
B Na Tm
4 1 1
Cartesian
1.5888 0.9173 2.1213
0.0000 1.8345 5.8557
1.5888 0.9173 5.8557
0.0000 1.8345 2.1213
0.0000 0.0000 0.0000
0.0000 0.0000 3.9885


PBE RbHgBiS3, optimized geometry; space group = Cmcm, No. 63; calculated volume = 349 Å³/cell; theoretical density = 5.6 g/cm3
1.0
2.1456 4.2315 -6.1649
-2.5671 -6.7854 2.8078
-10.3885 3.3997 -1.2820
Hg S Rb Bi
2 6 2 2
Cartesian
-2.5560 0.1617 -2.4785
-8.2539 0.6842 -2.1606
-0.0756 0.2632 -2.8671
-4.3511 1.6624 -3.3948
-10.0774 -3.5787 1.3113
-6.4588 -0.8165 -1.2443
-10.7344 0.5826 -1.7719
-0.7326 4.4245 -5.9503
-3.9189 -3.0243 0.1163
-6.8911 3.8701 -4.7554
-5.1942 1.6998 -0.6410
0.0000 0.0000 0.0000


PBE BeSbPdAu, optimized geometry; space group = F-43m, No. 216; calculated volume = 68 Å³/cell; theoretical density = 10.7 g/cm3
1.0
-0.7991 -3.6845 -2.5864
-4.2977 -1.3081 -0.8498
-1.7509 0.4880 -4.1952
Au Pd Sb Be
1 1 1 1
Cartesian
-5.1358 -3.3785 -5.7236
-1.7119 -1.1262 -1.9078
0.0000 0.0000 0.0000
-3.4239 -2.2523 -3.8157


PBE TlTcAuSe3, optimized geometry; space group = Cmcm, No. 63; size of the total moment = 1.27 μB per formula unit; calculated volume = 286 Å³/cell; theoretical density = 8.6 g/cm3
1.0
7.7688 -1.8245 0.0000
7.7688 1.8245 0.0000
0.0000 0.0000 10.0817
Au Se Tc Tl
2 6 2 2
Cartesian
10.2512 0.0000 7.5613
5.2865 0.0000 2.5204
0.5635 0.0000 2.5204
9.5353 0.0000 5.2142
6.0024 0.0000 4.8675
14.9742 0.0000 7.5613
6.0024 0.0000 0.1734
9.5353 0.0000 9.9083
0.0000 0.0000 0.0000
0.0000 0.0000 5.0408
4.7645 0.0000 7.5613
10.7731 0.0000 2.5204


PBE LaPmB4, optimized geometry; space group = Immm, No. 71; size of the total moment = 0.00 μB per formula unit; calculated volume = 80 Å³/cell; theoretical density = 6.8 g/cm3
1.0
-4.3592 -3.0165 0.6642
-2.5003 2.3879 4.0730
1.5280 0.6308 -5.0804
Pm B La
1 4 1
Cartesian
-3.4298 -0.3143 2.3686
-2.6536 -0.9525 -0.2930
-1.7358 1.7486 1.4194
-2.6779 0.9548 -0.0502
-3.5958 -1.7464 -1.7626
0.0000 0.0000 0.0000


PBE ZrCdNO, optimized geometry; space group = Pmc2_1, No. 26; size of the total moment = 0.21 μB per formula unit; calculated volume = 134 Å³/cell; theoretical density = 5.8 g/cm3
1.0
-0.2605 3.4416 0.3070
-4.7544 -0.0201 -3.8084
-3.9457 -0.7385 4.9297
O Cd N Zr
2 2 2 2
Cartesian
-1.4626 1.5737 0.6711
-7.0710 1.1891 0.2238
-5.0132 -0.3506 -0.3232
-5.3157 -0.7128 3.4796
-3.4775 -0.0705 -2.1606
-3.8594 -0.4330 1.5787
-4.1998 1.6917 -2.9733
-2.9177 1.3362 2.0989


PBE RbMg2CuAs2, optimized geometry; space group = P4mm, No. 99; calculated volume = 157 Å³/cell; theoretical density = 3.7 g/cm3
1.0
4.2738 0.0000 0.0000
0.0000 4.2738 0.0000
0.0000 0.0000 8.6063
Mg Cu Rb As
2 1 1 2
Cartesian
0.0000 2.1369 8.3782
2.1369 0.0000 8.3782
0.0000 0.0000 6.6118
2.1369 2.1369 3.1681
2.1369 2.1369 6.5762
0.0000 0.0000 1.3127


PBE NdTePO, optimized geometry; space group = Pmc2_1, No. 26; size of the total moment = 0.00 μB per formula unit; calculated volume = 241 Å³/cell; theoretical density = 4.4 g/cm3
1.0
-3.2021 -3.3806 -2.8012
5.9532 -2.5843 -3.6864
0.7664 -4.1794 4.1676
P Te Nd O
2 2 2 2
Cartesian
3.7620 -5.8868 -2.4668
0.1168 -6.2278 2.1115
-0.1318 -4.4804 0.2869
3.3574 -4.0717 -4.1948
4.3954 -3.6048 -0.6742
2.6172 -4.7562 2.7480
3.9661 -4.6747 1.1078
2.7807 -2.2367 -0.4793


no.,DFT total energy (eV per formula unit)
1,-33.22
2,-20.85
3,-15.94
4,-27.04
5,-38.03
6,-27.49
7,-18.96
8,-23.13